No. 1
This record from Alexandria describes a geometry-optimized Rb2PrGeTe4 structure. The functional is PBE-GGA.

The value obtained for the formation energy (no corrections) is -0.804 eV/atom.

The structure belongs to space group Imma (No. 74); the cell edges are 9.4802, 9.6103 and 13.5150 Å and the angles 90.00°, 90.00° and 90.00°. Symmetry generates all atoms from Rb at (0.0000, 0.0000, 0.0000), Rb at (0.2500, 0.2500, 0.2500), Pr at (0.2500, 0.2500, 0.7500), Ge at (0.0000, 0.0000, 0.5000), Te at (0.0000, 0.0265, 0.7278) and Te at (0.2034, 0.2500, 0.5145).

***

No. 2
This record from Alexandria describes a geometry-optimized Li2PPt structure. The functional is PBE-GGA.

The formation energy from the elements comes out at -0.60 eV/atom.

The structure belongs to space group Immm (No. 71); the cell edges are 3.6078, 3.6316 and 8.0007 Å and the angles 90.00°, 90.00° and 90.00°. Symmetry generates all atoms from Li at (0.0000, 0.0000, 0.2504), P at (0.0000, 0.5000, 0.0000) and Pt at (0.0000, 0.5000, 0.5000).

***

No. 3
This record from Alexandria describes a geometry-optimized GeIr2Se structure. The functional is PBE-GGA.

The value obtained for the formation energy (no corrections) is 0.367 eV/atom. As for the energy above the most stable polymorph in this dataset: 182 meV per atom.

The structure belongs to space group Fm-3m (No. 225); the cell edges are 6.2964, 6.2964 and 6.2964 Å and the angles 90.00°, 90.00° and 90.00°. Symmetry generates all atoms from Ge at (0.0000, 0.0000, 0.0000), Ir at (0.2500, 0.2500, 0.2500) and Se at (0.0000, 0.0000, 0.5000).

***

No. 4
This record from Alexandria describes a geometry-optimized LaPmCo3 structure. The functional is PBE-GGA.

The formation energy from the elements comes out at -0.09 eV/atom.

The structure belongs to space group Cmcm (No. 63); the cell edges are 4.2549, 23.6919 and 3.9823 Å and the angles 90.00°, 90.00° and 90.00°. Symmetry generates all atoms from La at (0.0000, 0.0709, 0.2500), Pm at (0.0000, 0.2053, 0.7500), Co at (0.0000, 0.3328, 0.7500), Co at (0.0000, 0.3791, 0.2500) and Co at (0.0000, 0.4761, 0.2500).

***

No. 5
This record from Alexandria describes a geometry-optimized HfReF3 structure. The functional is PBE-GGA.

The value obtained for the formation energy (no corrections) is -0.988 eV/atom. As for the energy above the most stable polymorph in this dataset: 0 meV per atom.

The structure belongs to space group Pm-3m (No. 221); the cell edges are 4.3016, 4.3016 and 4.3016 Å and the angles 90.00°, 90.00° and 90.00°. Symmetry generates all atoms from Hf at (0.0000, 0.0000, 0.0000), Re at (0.5000, 0.5000, 0.5000) and F at (0.0000, 0.0000, 0.5000).

***

No. 6
This record from Alexandria describes a geometry-optimized VCrAs2Se structure. The functional is PBE-GGA.

The value obtained for the formation energy (no corrections) is 0.794 eV/atom. As for the energy above the most stable polymorph in this dataset: 0 meV per atom.

The structure belongs to space group P4/mmm (No. 123); the cell edges are 4.5079, 4.5079 and 5.0542 Å and the angles 90.00°, 90.00° and 90.00°. Symmetry generates all atoms from V at (0.0000, 0.0000, 0.0000), Cr at (0.5000, 0.5000, 0.5000), As at (0.0000, 0.5000, 0.5000) and Se at (0.5000, 0.5000, 0.0000).

***

No. 7
This record from Alexandria describes a geometry-optimized Gd2ThSb structure. The functional is PBE-GGA.

The value obtained for the formation energy (no corrections) is -0.460 eV/atom. As for the energy above the most stable polymorph in this dataset: 40 meV per atom.

The structure belongs to space group P4/mmm (No. 123); the cell edges are 4.8853, 4.8853 and 4.7793 Å and the angles 90.00°, 90.00° and 90.00°. Symmetry generates all atoms from Gd at (0.0000, 0.5000, 0.0000), Th at (0.0000, 0.0000, 0.5000) and Sb at (0.5000, 0.5000, 0.5000).

***

No. 8
This record from Alexandria describes a geometry-optimized LaNi2Pt2 structure. The functional is PBE-GGA.

As for the energy above the most stable polymorph in this dataset: 194 meV per atom. The formation energy from the elements comes out at -0.32 eV/atom.

The structure belongs to space group P4/mbm (No. 127); the cell edges are 7.4636, 7.4636 and 2.9819 Å and the angles 90.00°, 90.00° and 90.00°. Symmetry generates all atoms from La at (0.0000, 0.0000, 0.0000), Ni at (0.1629, 0.3371, 0.5000) and Pt at (0.1337, 0.6337, 0.0000).

***

No. 9
This record from Alexandria describes a geometry-optimized BaCo2Ag2 structure. The functional is PBE-GGA.

As for the energy above the most stable polymorph in this dataset: 265 meV per atom. The formation energy from the elements comes out at 0.61 eV/atom.

The structure belongs to space group P4/mbm (No. 127); the cell edges are 8.1179, 8.1179 and 2.9671 Å and the angles 90.00°, 90.00° and 90.00°. Symmetry generates all atoms from Ba at (0.0000, 0.0000, 0.0000), Co at (0.1654, 0.3346, 0.5000) and Ag at (0.1254, 0.6254, 0.0000).

***

No. 10
This record from Alexandria describes a geometry-optimized ReNi2Ir8 structure. The functional is PBE-GGA.

The formation energy from the elements comes out at -0.05 eV/atom.

The structure belongs to space group C2/m (No. 12); the cell edges are 13.7714, 3.8396 and 6.0660 Å and the angles 90.00°, 105.64° and 90.00°. Symmetry generates all atoms from Re at (0.0000, 0.0000, 0.0000), Ni at (0.2254, 0.5000, 0.6310), Ir at (0.0433, 0.5000, 0.7293), Ir at (0.0941, 0.0000, 0.4542), Ir at (0.1360, 0.5000, 0.1788) and Ir at (0.1822, 0.0000, 0.9101).

***

No. 11
This record from Alexandria describes a geometry-optimized FeCu2Ag structure. The functional is PBE-GGA.

As for the energy above the most stable polymorph in this dataset: 26 meV per atom. The formation energy from the elements comes out at 0.20 eV/atom.

The structure belongs to space group P4mm (No. 99); the cell edges are 2.6838, 2.6838 and 7.5013 Å and the angles 90.00°, 90.00° and 90.00°. Symmetry generates all atoms from Fe at (0.0000, 0.0000, 0.0000), Cu at (0.0000, 0.0000, 0.5469), Cu at (0.5000, 0.5000, 0.7720) and Ag at (0.5000, 0.5000, 0.2768).

***

No. 12
This record from Alexandria describes a geometry-optimized LaCd2P2 structure. The functional is PBE-GGA.

The formation energy from the elements comes out at -0.19 eV/atom.

The structure belongs to space group P4/mbm (No. 127); the cell edges are 7.8301, 7.8301 and 3.6234 Å and the angles 90.00°, 90.00° and 90.00°. Symmetry generates all atoms from La at (0.0000, 0.0000, 0.0000), Cd at (0.1205, 0.3795, 0.0000) and P at (0.1927, 0.6927, 0.5000).

***

No. 13
This record from Alexandria describes a geometry-optimized CuHgPd5 structure. The functional is PBE-GGA.

The formation energy from the elements comes out at 0.34 eV/atom.

The structure belongs to space group Imm2 (No. 44); the cell edges are 5.1522, 6.9493 and 7.3180 Å and the angles 90.00°, 90.00° and 90.00°. Symmetry generates all atoms from Cu at (0.0000, 0.0000, 0.0000), Hg at (0.0000, 0.5000, 0.8600), Pd at (0.0000, 0.1858, 0.3143), Pd at (0.0000, 0.5000, 0.5068) and Pd at (0.2430, 0.0000, 0.6803).

***

No. 14
This record from Alexandria describes a geometry-optimized KCaCl2 structure. The functional is PBE-GGA.

The value obtained for the formation energy (no corrections) is -1.709 eV/atom. As for the energy above the most stable polymorph in this dataset: 24 meV per atom.

The structure belongs to space group P2/m (No. 10); the cell edges are 4.2496, 3.9317 and 7.5584 Å and the angles 90.00°, 90.22° and 90.00°. Symmetry generates all atoms from K at (0.0000, 0.0000, 0.0000), Ca at (0.5000, 0.0000, 0.5000) and Cl at (0.4982, 0.5000, 0.2352).

***

No. 15
This record from Alexandria describes a geometry-optimized FePSN2 structure. The functional is PBE-GGA.

The value obtained for the formation energy (no corrections) is 0.728 eV/atom. As for the energy above the most stable polymorph in this dataset: 0 meV per atom.

The structure belongs to space group P4/mmm (No. 123); the cell edges are 3.2912, 3.2912 and 6.4728 Å and the angles 90.00°, 90.00° and 90.00°. Symmetry generates all atoms from Fe at (0.0000, 0.0000, 0.0000), P at (0.5000, 0.5000, 0.5000), S at (0.5000, 0.5000, 0.0000) and N at (0.0000, 0.5000, 0.5000).

***

No. 16
This record from Alexandria describes a geometry-optimized RbNaBiC2 structure. The functional is PBE-GGA.

The formation energy from the elements comes out at 2.41 eV/atom.

The structure belongs to space group P4/mmm (No. 123); the cell edges are 4.9259, 4.9259 and 5.0159 Å and the angles 90.00°, 90.00° and 90.00°. Symmetry generates all atoms from Rb at (0.0000, 0.0000, 0.0000), Na at (0.0000, 0.0000, 0.5000), Bi at (0.5000, 0.5000, 0.0000) and C at (0.0000, 0.5000, 0.5000).

***

No. 17
This record from Alexandria describes a geometry-optimized Al2FeMo structure. The functional is PBE-GGA.

As for the energy above the most stable polymorph in this dataset: 93 meV per atom. The formation energy from the elements comes out at -0.13 eV/atom.

The structure belongs to space group P2/m (No. 10); the cell edges are 2.6735, 4.0458 and 5.3872 Å and the angles 90.00°, 103.78° and 90.00°. Symmetry generates all atoms from Al at (0.1910, 0.0000, 0.2590), Fe at (0.0000, 0.5000, 0.5000) and Mo at (0.5000, 0.5000, 0.0000).